Mn6OF11: optimized geometry, PBE+U.

As for the calculated volume: 233.22 Å³ per cell. As for the crystal system: orthorhombic. Its electronic total energy is -6.14 eV per atom.

Cell lengths 4.852, 4.852, 9.914 Å; angles 90.00, 90.00, 92.01 degrees
Fractional coordinates of all 18 atoms:
1 F 0.308 0.680 0.346
2 F 0.201 0.201 0.833
3 F 0.312 0.701 0.000
4 Mn 0.998 0.998 0.000
5 Mn 0.477 0.477 0.500
6 F 0.807 0.807 0.174
7 Mn 0.013 0.013 0.345
8 F 0.308 0.680 0.654
9 F 0.680 0.308 0.346
10 F 0.777 0.777 0.500
11 Mn 0.504 0.504 0.170
12 F 0.701 0.312 0.000
13 F 0.680 0.308 0.654
14 F 0.807 0.807 0.826
15 Mn 0.013 0.013 0.655
16 Mn 0.504 0.504 0.830
17 O 0.210 0.210 0.500
18 F 0.201 0.201 0.167



Mn3O2F: optimized geometry, PBE+U.

As for the calculated volume: 182.15 Å³ per cell. As for the crystal system: orthorhombic. As for the density of states at the Fermi level: 1.596 states/eV per cell. Its electronic total energy is -7.23 eV per atom.

Cell lengths 4.565, 4.075, 9.792 Å; angles 90.00, 90.00, 90.00 degrees
Fractional coordinates of all 12 atoms:
1 F 0.250 0.250 0.250
2 Mn 0.250 0.250 0.482
3 O 0.250 0.750 0.541
4 Mn 0.750 0.750 0.518
5 Mn 0.250 0.250 0.018
6 Mn 0.250 0.750 0.750
7 Mn 0.750 0.250 0.250
8 O 0.750 0.250 0.459
9 O 0.250 0.750 0.959
10 O 0.750 0.250 0.041
11 Mn 0.750 0.750 0.982
12 F 0.750 0.750 0.750



Mn2OF3: optimized geometry, PBE+U.

As for the calculated volume: 328.83 Å³ per cell. As for the crystal system: orthorhombic. Its electronic total energy is -6.56 eV per atom.

Cell lengths 5.103, 6.164, 10.453 Å; angles 90.00, 90.00, 90.00 degrees
Fractional coordinates of all 24 atoms:
1 Mn 0.000 0.500 0.000
2 F 0.715 0.489 0.663
3 Mn 0.480 0.750 0.765
4 Mn 0.500 0.000 0.500
5 O 0.157 0.750 0.075
6 F 0.785 0.011 0.163
7 F 0.285 0.511 0.337
8 O 0.343 0.750 0.575
9 Mn 0.500 0.500 0.500
10 O 0.843 0.250 0.925
11 F 0.785 0.489 0.163
12 Mn 0.020 0.750 0.265
13 F 0.215 0.989 0.837
14 Mn 0.980 0.250 0.735
15 F 0.252 0.250 0.586
16 F 0.715 0.011 0.663
17 F 0.752 0.750 0.914
18 Mn 0.000 0.000 0.000
19 F 0.285 0.989 0.337
20 F 0.748 0.750 0.414
21 F 0.215 0.511 0.837
22 F 0.248 0.250 0.086
23 O 0.657 0.250 0.425
24 Mn 0.520 0.250 0.235



Mn6O7F5: optimized geometry, PBE+U.

As for the calculated volume: 207.92 Å³ per cell. As for the crystal system: triclinic. As for the density of states at the Fermi level: 0.601 states/eV per cell. Its electronic total energy is -6.79 eV per atom.

Cell lengths 4.867, 5.692, 7.631 Å; angles 84.62, 85.37, 81.98 degrees
Fractional coordinates of all 18 atoms:
1 O 0.320 0.808 0.905
2 F 0.159 0.642 0.557
3 F 0.829 0.348 0.440
4 F 0.154 0.285 0.902
5 Mn 0.998 0.331 0.668
6 O 0.332 0.483 0.239
7 O 0.688 0.197 0.097
8 Mn 0.990 0.663 0.324
9 O 0.675 0.860 0.428
10 F 0.831 0.011 0.782
11 O 0.674 0.520 0.762
12 O 0.842 0.717 0.097
13 Mn 0.498 0.167 0.332
14 O 0.318 0.142 0.573
15 Mn 0.492 0.829 0.664
16 Mn 0.531 0.518 0.009
17 F 0.174 0.992 0.217
18 Mn 0.995 0.988 0.005



Mn6O5F7: optimized geometry, PBE+U.

As for the calculated volume: 212.71 Å³ per cell. As for the crystal system: monoclinic. As for the density of states at the Fermi level: 0.774 states/eV per cell. Its electronic total energy is -6.58 eV per atom.

Cell lengths 9.498, 4.728, 4.755 Å; angles 84.98, 90.00, 90.00 degrees
Fractional coordinates of all 18 atoms:
1 O 0.000 0.273 0.707
2 O 0.324 0.317 0.692
3 F 0.500 0.223 0.211
4 Mn 0.158 0.481 0.508
5 F 0.828 0.178 0.181
6 F 0.836 0.796 0.806
7 Mn 0.339 0.015 0.976
8 O 0.500 0.838 0.814
9 O 0.676 0.317 0.692
10 Mn 0.661 0.015 0.976
11 F 0.164 0.796 0.806
12 Mn 0.500 0.514 0.542
13 Mn 0.000 0.979 0.003
14 Mn 0.842 0.481 0.508
15 F 0.325 0.708 0.297
16 O 0.000 0.682 0.301
17 F 0.675 0.708 0.297
18 F 0.172 0.178 0.181



Mn6O7F5: optimized geometry, PBE+U.

As for the calculated volume: 200.17 Å³ per cell. As for the crystal system: triclinic. As for the density of states at the Fermi level: 4.876 states/eV per cell. Its electronic total energy is -6.76 eV per atom.

Cell lengths 4.584, 5.648, 7.753 Å; angles 85.91, 89.47, 88.58 degrees
Fractional coordinates of all 18 atoms:
1 F 0.767 0.042 0.791
2 Mn 0.975 0.650 0.318
3 Mn 0.512 0.826 0.649
4 Mn 0.507 0.179 0.357
5 F 0.194 0.627 0.542
6 O 0.304 0.455 0.232
7 F 0.276 0.797 0.868
8 F 0.721 0.205 0.132
9 O 0.809 0.717 0.095
10 F 0.239 0.966 0.228
11 Mn 0.993 0.332 0.673
12 Mn 0.010 0.004 0.005
13 O 0.197 0.284 0.900
14 O 0.695 0.545 0.768
15 O 0.299 0.118 0.563
16 O 0.786 0.370 0.449
17 O 0.722 0.886 0.434
18 Mn 0.494 0.497 0.998



Calculated values (Bohr magnetons per cell) of total magnetic moment for the records, taken in order: 3.000; 28.635; 36.000; 23.000; 23.000; 23.000.